No. 1
! CsTlHg2Ge (GGA-PBE, relaxed); values from VASP
! calculated total energy: -8.5 eV for the cell shown
! space group: P4/mmm (123)
! size of the total moment: 0.00 μB per formula unit
! energy relative to the elements: -0.4 kJ/mol of atoms
&SYSTEM
  ibrav = 0, nat = 5, ntyp = 4
/
ATOMIC_SPECIES
Hg 200.59 Hg.upf
Cs 132.91 Cs.upf
Tl 204.38 Tl.upf
Ge 72.64 Ge.upf
ATOMIC_POSITIONS crystal
Hg 0.000 0.500 0.000
Hg 0.500 0.000 0.000
Cs 0.500 0.500 0.500
Tl 0.000 0.000 0.500
Ge 0.000 0.000 0.000
CELL_PARAMETERS angstrom
-1.734 -5.446 1.086
-0.393 -1.014 -5.714
5.326 -1.708 -0.063


No. 2
! NaLaC (GGA-PBE, relaxed); values from VASP
! calculated total energy: -31.6 eV for the cell shown
! space group: C2/m (12)
! size of the total moment: 0.00 μB per formula unit
! energy relative to the elements: -10.8 kJ/mol of atoms
&SYSTEM
  ibrav = 0, nat = 6, ntyp = 3
/
ATOMIC_SPECIES
La 138.91 La.upf
C 12.01 C.upf
Na 22.99 Na.upf
ATOMIC_POSITIONS crystal
La 0.126 0.251 0.883
La 0.874 0.749 0.117
C 0.419 0.839 0.972
C 0.581 0.161 0.028
Na 0.628 0.255 0.383
Na 0.372 0.745 0.617
CELL_PARAMETERS angstrom
-0.345 3.226 1.958
0.217 -3.649 2.382
11.959 1.638 -0.594


No. 3
! Sc3TlN (GGA-PBE, relaxed); values from VASP
! calculated total energy: -31.0 eV for the cell shown
! E_form (uncorrected): -122 kJ/mol of formula units
! space group: Amm2 (38)
! size of the total moment: 1.11 μB per formula unit
&SYSTEM
  ibrav = 0, nat = 5, ntyp = 3
/
ATOMIC_SPECIES
Sc 44.96 Sc.upf
N 14.01 N.upf
Tl 204.38 Tl.upf
ATOMIC_POSITIONS crystal
Sc 0.000 0.270 0.730
Sc 0.500 0.185 0.337
Sc 0.500 0.663 0.815
N 0.000 0.415 0.585
Tl 0.500 0.095 0.905
CELL_PARAMETERS angstrom
3.132 0.000 0.000
0.000 3.053 -7.629
0.000 3.053 7.629